## NaScPt2 (PBE)

Data for a geometry-optimized NaScPt2 structure.

As for the calculated density: 10.17 g cm⁻³. The value obtained for the formation energy is -757 meV/atom.

a = 3.130 Å, b = 3.130 Å, c = 7.635 Å
α = 90.00°, β = 90.00°, γ = 90.00°
Element x y z (fractional)
Na (0.000, 0.000, 0.000)
Sc (0.000, 0.000, 0.500)
Pt (0.500, 0.500, 0.284)
Pt (0.500, 0.500, 0.716)



## Mg4GeRh5 (PBE)

Data for a geometry-optimized Mg4GeRh5 structure.

As for the calculated density: 7.62 g cm⁻³. The value obtained for the formation energy is -527 meV/atom.

a = 3.089 Å, b = 3.089 Å, c = 15.631 Å
α = 90.00°, β = 90.00°, γ = 90.00°
Element x y z (fractional)
Mg (0.000, 0.000, 0.100)
Mg (0.000, 0.000, 0.298)
Mg (0.000, 0.000, 0.702)
Mg (0.000, 0.000, 0.900)
Ge (0.000, 0.000, 0.500)
Rh (0.500, 0.500, 0.000)
Rh (0.500, 0.500, 0.201)
Rh (0.500, 0.500, 0.409)
Rh (0.500, 0.500, 0.591)
Rh (0.500, 0.500, 0.799)



## SrSi2Ru (PBE)

Data for a geometry-optimized SrSi2Ru structure.

The raw formation energy is 0.267 eV/atom. As for the calculated density: 5.30 g cm⁻³.

a = 5.626 Å, b = 5.626 Å, c = 5.626 Å
α = 147.36°, β = 126.10°, γ = 64.45°
Element x y z (fractional)
Sr (0.000, 0.000, 0.000)
Si (0.481, 0.481, 0.000)
Si (0.700, 0.200, 0.500)
Ru (0.293, 0.793, 0.500)



## KB3S (PBE)

Data for a geometry-optimized KB3S structure.

The raw formation energy is 1.891 eV/atom. As for the calculated density: 2.42 g cm⁻³. The distance to the lowest polymorph of the same formula comes out at 0.000 eV/atom.

a = 4.141 Å, b = 4.141 Å, c = 4.141 Å
α = 90.00°, β = 90.00°, γ = 90.00°
Element x y z (fractional)
K (0.000, 0.000, 0.000)
B (0.000, 0.500, 0.500)
B (0.500, 0.000, 0.500)
B (0.500, 0.500, 0.000)
S (0.500, 0.500, 0.500)



## AlV4 (PBE)

Data for a geometry-optimized AlV4 structure.

As for the calculated density: 4.96 g cm⁻³. The value obtained for the formation energy is 585 meV/atom. The distance to the lowest polymorph of the same formula comes out at 0.000 eV/atom.

a = 4.935 Å, b = 4.935 Å, c = 4.935 Å
α = 125.24°, β = 125.24°, γ = 81.15°
Element x y z (fractional)
Al (0.000, 0.000, 0.000)
V (0.250, 0.750, 0.500)
V (0.340, 0.340, 0.000)
V (0.660, 0.660, 0.000)
V (0.750, 0.250, 0.500)



## CoBi (PBE)

Data for a geometry-optimized CoBi structure.

As for the calculated density: 11.00 g cm⁻³. The value obtained for the formation energy is 328 meV/atom.

a = 5.513 Å, b = 7.106 Å, c = 8.260 Å
α = 90.00°, β = 90.00°, γ = 90.00°
Element x y z (fractional)
Co (0.015, 0.168, 0.385)
Co (0.244, 0.498, 0.380)
Co (0.256, 0.502, 0.880)
Co (0.485, 0.832, 0.885)
Co (0.515, 0.332, 0.615)
Co (0.744, 0.002, 0.620)
Co (0.756, 0.998, 0.120)
Co (0.985, 0.668, 0.115)
Bi (0.007, 0.315, 0.104)
Bi (0.010, 0.861, 0.855)
Bi (0.490, 0.139, 0.355)
Bi (0.493, 0.685, 0.604)
Bi (0.507, 0.185, 0.896)
Bi (0.510, 0.639, 0.145)
Bi (0.990, 0.361, 0.645)
Bi (0.993, 0.815, 0.396)